1.
Computed, not measured: a relaxed AcPrSc2 crystal at the PBE level of DFT.

Geometry as POSCAR:
```
AcPrSc2
1.0
5.355 0.000 0.000
0.000 5.355 0.000
0.000 0.000 4.416
Ac Pr Sc
1 1 2
Direct
0.000 0.000 0.000 Ac
0.500 0.500 0.000 Pr
0.000 0.500 0.500 Sc
0.500 0.000 0.500 Sc
```

Output
The theoretical density is 6.0 Mg/m³.



2.
Computed, not measured: a relaxed AcPrSc2 crystal at the PBE level of DFT.

Geometry as POSCAR:
```
AcPrSc2
1.0
1.809 1.045 11.137
-1.809 1.045 11.137
0.000 -2.089 11.137
Ac Pr Sc
1 1 2
Direct
0.000 0.000 0.000 Ac
0.500 0.500 0.500 Pr
0.248 0.248 0.248 Sc
0.752 0.752 0.752 Sc
```

Output
The theoretical density is 6.0 Mg/m³.



The most stable of them is 1.



1.
Computed, not measured: a relaxed AcPrSc2 crystal at the PBE level of DFT.

Geometry as POSCAR:
```
AcPrSc2
1.0
4.036 0.000 0.000
0.000 4.036 0.000
0.000 0.000 7.815
Ac Pr Sc
1 1 2
Direct
0.000 0.000 0.000 Ac
0.000 0.000 0.500 Pr
0.500 0.500 0.265 Sc
0.500 0.500 0.735 Sc
```

Output
The theoretical density is 6.0 Mg/m³.



2.
Computed, not measured: a relaxed AcPrSc2 crystal at the PBE level of DFT.

Geometry as POSCAR:
```
AcPrSc2
1.0
1.802 1.041 11.335
-1.802 1.041 11.335
0.000 -2.081 11.335
Ac Pr Sc
1 1 2
Direct
0.000 0.000 0.000 Ac
0.833 0.833 0.833 Pr
0.247 0.247 0.247 Sc
0.420 0.420 0.420 Sc
```

Output
The theoretical density is 6.0 Mg/m³.



3.
Computed, not measured: a relaxed AcPrSc2 crystal at the PBE level of DFT.

Geometry as POSCAR:
```
AcPrSc2
1.0
0.000 3.994 3.994
3.994 0.000 3.994
3.994 3.994 0.000
Ac Pr Sc
1 1 2
Direct
0.000 0.000 0.000 Ac
0.500 0.500 0.500 Pr
0.250 0.250 0.250 Sc
0.750 0.750 0.750 Sc
```

Output
The theoretical density is 6.0 Mg/m³.



The most stable of them is 1.